Entry 1:
# La3Al2In3 PBE relaxed
data_La3Al2In3
_space_group_name_H-M_alt 'C m c m'
_space_group_IT_number 63
_space_group_name_Hall '-C 2c 2'
_cell_length_a 4.710
_cell_length_b 11.794
_cell_length_c 16.011
_cell_angle_alpha 90.00
_cell_angle_beta 90.00
_cell_angle_gamma 90.00
loop_
_atom_site_label
_atom_site_type_symbol
_atom_site_fract_x
_atom_site_fract_y
_atom_site_fract_z
La1 La 0.000 0.074 0.110
La2 La 0.000 0.355 0.250
Al1 Al 0.000 0.219 0.608
In1 In 0.000 0.362 0.750
In2 In 0.000 0.371 0.038
# Formation enthalpy at 0 K in eV per atom: -0.481



Entry 2:
# LaAlIn2 PBE relaxed
data_LaAlIn2
_space_group_name_H-M_alt 'P 4/m m m'
_space_group_IT_number 123
_space_group_name_Hall '-P 4 2'
_cell_length_a 4.645
_cell_length_b 4.645
_cell_length_c 4.755
_cell_angle_alpha 90.00
_cell_angle_beta 90.00
_cell_angle_gamma 90.00
loop_
_atom_site_label
_atom_site_type_symbol
_atom_site_fract_x
_atom_site_fract_y
_atom_site_fract_z
La1 La 0.000 0.000 0.000
Al1 Al 0.500 0.500 0.000
In1 In 0.000 0.500 0.500
# Formation enthalpy at 0 K in eV per atom: -0.398



Entry 3:
# La7Al2In2 PBE relaxed
data_La7Al2In2
_space_group_name_H-M_alt 'C m m m'
_space_group_IT_number 65
_space_group_name_Hall '-C 2 2'
_cell_length_a 8.093
_cell_length_b 11.497
_cell_length_c 7.982
_cell_angle_alpha 90.00
_cell_angle_beta 90.00
_cell_angle_gamma 90.00
loop_
_atom_site_label
_atom_site_type_symbol
_atom_site_fract_x
_atom_site_fract_y
_atom_site_fract_z
La1 La 0.000 0.000 0.000
La2 La 0.000 0.500 0.282
La3 La 0.250 0.250 0.309
Al1 Al 0.159 0.000 0.500
In1 In 0.000 0.293 0.000
# Formation enthalpy at 0 K in eV per atom: -0.099



Entry 4:
# La11Al4In9 PBE relaxed
data_La11Al4In9
_space_group_name_H-M_alt 'C m m m'
_space_group_IT_number 65
_space_group_name_Hall '-C 2 2'
_cell_length_a 14.233
_cell_length_b 21.383
_cell_length_c 4.580
_cell_angle_alpha 90.00
_cell_angle_beta 90.00
_cell_angle_gamma 90.00
loop_
_atom_site_label
_atom_site_type_symbol
_atom_site_fract_x
_atom_site_fract_y
_atom_site_fract_z
La1 La 0.000 0.000 0.000
La2 La 0.000 0.170 0.000
La3 La 0.000 0.367 0.000
La4 La 0.207 0.500 0.000
La5 La 0.236 0.175 0.000
Al1 Al 0.151 0.401 0.500
In1 In 0.000 0.500 0.500
In2 In 0.109 0.267 0.500
In3 In 0.141 0.075 0.500
# Formation enthalpy at 0 K in eV per atom: -0.462



Entry 5:
# LaAl2In PBE relaxed
data_LaAl2In
_space_group_name_H-M_alt 'R 3 m'
_space_group_IT_number 160
_space_group_name_Hall 'R 3 -2"'
_cell_length_a 3.2725
_cell_length_b 3.2725
_cell_length_c 30.8937
_cell_angle_alpha 90.00
_cell_angle_beta 90.00
_cell_angle_gamma 120.00
loop_
_atom_site_label
_atom_site_type_symbol
_atom_site_fract_x
_atom_site_fract_y
_atom_site_fract_z
La1 La 0.0000 0.0000 0.0000
Al1 Al 0.0000 0.0000 0.2442
Al2 Al 0.0000 0.0000 0.5068
In1 In 0.0000 0.0000 0.7623
# Formation enthalpy at 0 K in eV per atom: 0.017



Entry 6:
# LiLaAlIn PBE relaxed
data_LiLaAlIn
_space_group_name_H-M_alt 'F -4 3 m'
_space_group_IT_number 216
_space_group_name_Hall 'F -4 2 3'
_cell_length_a 7.330
_cell_length_b 7.330
_cell_length_c 7.330
_cell_angle_alpha 90.00
_cell_angle_beta 90.00
_cell_angle_gamma 90.00
loop_
_atom_site_label
_atom_site_type_symbol
_atom_site_fract_x
_atom_site_fract_y
_atom_site_fract_z
Li1 Li 0.000 0.000 0.000
La1 La 0.000 0.000 0.500
Al1 Al 0.250 0.250 0.750
In1 In 0.250 0.250 0.250
# Formation enthalpy at 0 K in eV per atom: -0.287



Entry 7:
# LaMgAlIn PBE relaxed
data_LaMgAlIn
_space_group_name_H-M_alt 'F -4 3 m'
_space_group_IT_number 216
_space_group_name_Hall 'F -4 2 3'
_cell_length_a 7.382
_cell_length_b 7.382
_cell_length_c 7.382
_cell_angle_alpha 90.00
_cell_angle_beta 90.00
_cell_angle_gamma 90.00
loop_
_atom_site_label
_atom_site_type_symbol
_atom_site_fract_x
_atom_site_fract_y
_atom_site_fract_z
La1 La 0.000 0.000 0.000
Mg1 Mg 0.000 0.000 0.500
Al1 Al 0.250 0.250 0.750
In1 In 0.250 0.250 0.250
# Formation enthalpy at 0 K in eV per atom: -0.266



Entry 8:
# La2AlInN PBE relaxed
data_La2AlInN
_space_group_name_H-M_alt 'P 4/m m m'
_space_group_IT_number 123
_space_group_name_Hall '-P 4 2'
_cell_length_a 5.377
_cell_length_b 5.377
_cell_length_c 3.972
_cell_angle_alpha 90.00
_cell_angle_beta 90.00
_cell_angle_gamma 90.00
loop_
_atom_site_label
_atom_site_type_symbol
_atom_site_fract_x
_atom_site_fract_y
_atom_site_fract_z
La1 La 0.000 0.500 0.000
Al1 Al 0.000 0.000 0.500
In1 In 0.500 0.500 0.500
N1 N 0.000 0.000 0.000
# Energy relative to the elements, uncorrected in eV/atom: -0.714



| no. | size of the total moment (μB per formula unit) | E (eV/atom) |
| --- | --- | --- |
| 1 | 0.704 | -4.29 |
| 2 | 0.000 | -3.93 |
| 3 | 0.000 | -4.41 |
| 4 | 0.000 | -4.37 |
| 5 | 0.038 | -3.77 |
| 6 | 0.000 | -3.62 |
| 7 | 0.000 | -3.52 |
| 8 | 0.000 | -5.65 |